## Sc2CrOs2 (PBE-GGA)

Data for crystalline Sc2CrOs2 at its relaxed geometry.

Results
Total moment = 0.0 Bohr magnetons per cell
Formation energy = -0.1157 eV/atom
Density = 9.92 g/cm³
DOS at the Fermi energy = 0.947 states/eV per atom
SG = P4/mbm (127)

CIF file:
```
data_Sc2CrOs2
_chemical_formula_sum 'Sc4 Cr2 Os4'
_symmetry_space_group_name_H-M 'P 1'
_symmetry_Int_Tables_number 1
_symmetry_space_group_name_Hall 'P 1'
_cell_length_a 6.2962
_cell_length_b 6.2962
_cell_length_c 4.4131
_cell_angle_alpha 90.00
_cell_angle_beta 90.00
_cell_angle_gamma 90.00
loop_
_atom_site_label
_atom_site_fract_x
_atom_site_fract_y
_atom_site_fract_z
Sc1 0.1772 0.6772 0.5000
Sc2 0.6772 0.8228 0.5000
Sc3 0.8228 0.3228 0.5000
Sc4 0.3228 0.1772 0.5000
Cr1 0.0000 0.0000 0.0000
Cr2 0.5000 0.5000 0.0000
Os1 0.3596 0.8596 0.0000
Os2 0.8596 0.6404 0.0000
Os3 0.6404 0.1404 0.0000
Os4 0.1404 0.3596 0.0000
```

---

## LaNd3Y2Te6 (PBE-GGA)

Data for crystalline LaNd3Y2Te6 at its relaxed geometry.

Results
Total moment = 0.0 Bohr magnetons per cell
Density = 6.64 g/cm³
DOS at the Fermi energy = 0.576 states/eV per atom
Formation energy (no corrections) = -16.97 eV/f.u.
SG = C2/m (12)

CIF file:
```
data_LaNd3Y2Te6
_chemical_formula_sum 'La1 Nd3 Y2 Te6'
_symmetry_space_group_name_H-M 'P 1'
_symmetry_Int_Tables_number 1
_symmetry_space_group_name_Hall 'P 1'
_cell_length_a 4.4474
_cell_length_b 8.9891
_cell_length_c 9.9909
_cell_angle_alpha 103.07
_cell_angle_beta 102.86
_cell_angle_gamma 90.00
loop_
_atom_site_label
_atom_site_fract_x
_atom_site_fract_y
_atom_site_fract_z
La1 0.5000 0.0000 0.0000
Nd1 0.5000 0.5000 0.0000
Nd2 0.8379 0.1695 0.6758
Nd3 0.1621 0.8305 0.3242
Y1 0.8338 0.6688 0.6676
Y2 0.1662 0.3312 0.3324
Te1 0.3298 0.9084 0.6596
Te2 0.6697 0.5763 0.3393
Te3 0.6702 0.0916 0.3404
Te4 0.0048 0.2557 0.0095
Te5 0.9952 0.7443 0.9905
Te6 0.3303 0.4237 0.6607
```

---

## CuTe3 (PBE-GGA)

Data for crystalline CuTe3 at its relaxed geometry.

Results
Total moment = 0.0 Bohr magnetons per cell
Density = 7.18 g/cm³
DOS at the Fermi energy = 0.539 states/eV per atom
Formation energy (no corrections) = 0.20 eV/f.u.
SG = R-3m (166)

CIF file:
```
data_CuTe3
_chemical_formula_sum 'Cu1 Te3'
_symmetry_space_group_name_H-M 'P 1'
_symmetry_Int_Tables_number 1
_symmetry_space_group_name_Hall 'P 1'
_cell_length_a 7.4791
_cell_length_b 7.4791
_cell_length_c 7.4791
_cell_angle_alpha 31.80
_cell_angle_beta 31.80
_cell_angle_gamma 31.80
loop_
_atom_site_label
_atom_site_fract_x
_atom_site_fract_y
_atom_site_fract_z
Te1 0.7318 0.7318 0.7318
Te2 0.5000 0.5000 0.5000
Te3 0.2682 0.2682 0.2682
Cu1 0.0000 0.0000 0.0000
```

---

## NaMgVC2 (PBE-GGA)

Data for crystalline NaMgVC2 at its relaxed geometry.

Results
Total moment = 0.1 Bohr magnetons per cell
Formation energy = 2.7900 eV/atom
Density = 2.88 g/cm³
DOS at the Fermi energy = 1.126 states/eV per atom
SG = P4/mmm (123)

CIF file:
```
data_NaMgVC2
_chemical_formula_sum 'Na1 Mg1 V1 C2'
_symmetry_space_group_name_H-M 'P 1'
_symmetry_Int_Tables_number 1
_symmetry_space_group_name_Hall 'P 1'
_cell_length_a 4.1923
_cell_length_b 4.0046
_cell_length_c 4.1923
_cell_angle_alpha 90.00
_cell_angle_beta 90.00
_cell_angle_gamma 90.00
loop_
_atom_site_label
_atom_site_fract_x
_atom_site_fract_y
_atom_site_fract_z
Na1 0.0000 0.0000 0.0000
Mg1 0.0000 0.5000 0.0000
C1 0.0000 0.0000 0.5000
C2 0.5000 0.0000 0.0000
V1 0.5000 0.5000 0.5000
```

---

## TbNi3Ge3 (PBE-GGA)

Data for crystalline TbNi3Ge3 at its relaxed geometry.

Results
Total moment = 0.0 Bohr magnetons per cell
Formation energy = -0.1437 eV/atom
Density = 7.01 g/cm³
Energy above the lowest structure with this stoichiometry = 246 meV/atom
DOS at the Fermi energy = 0.763 states/eV per atom
SG = Pm-3n (223)

CIF file:
```
data_TbNi3Ge3
_chemical_formula_sum 'Tb2 Ni6 Ge6'
_symmetry_space_group_name_H-M 'P 1'
_symmetry_Int_Tables_number 1
_symmetry_space_group_name_Hall 'P 1'
_cell_length_a 6.3994
_cell_length_b 6.3994
_cell_length_c 6.3994
_cell_angle_alpha 90.00
_cell_angle_beta 90.00
_cell_angle_gamma 90.00
loop_
_atom_site_label
_atom_site_fract_x
_atom_site_fract_y
_atom_site_fract_z
Ni1 0.2500 0.0000 0.5000
Ni2 0.0000 0.5000 0.2500
Ni3 0.5000 0.7500 0.0000
Ni4 0.7500 0.0000 0.5000
Ni5 0.0000 0.5000 0.7500
Ni6 0.5000 0.2500 0.0000
Ge1 0.0000 0.2500 0.5000
Ge2 0.0000 0.7500 0.5000
Ge3 0.5000 0.0000 0.7500
Ge4 0.7500 0.5000 0.0000
Ge5 0.5000 0.0000 0.2500
Ge6 0.2500 0.5000 0.0000
Tb1 0.5000 0.5000 0.5000
Tb2 0.0000 0.0000 0.0000
```

---

## ZnGaMoIr (PBE-GGA)

Data for crystalline ZnGaMoIr at its relaxed geometry.

Results
Total moment = 0.0 Bohr magnetons per cell
Formation energy = -0.0559 eV/atom
Density = 11.72 g/cm³
Energy above the lowest structure with this stoichiometry = 69 meV/atom
DOS at the Fermi energy = 0.784 states/eV per atom
SG = Cm (8)

CIF file:
```
data_ZnGaMoIr
_chemical_formula_sum 'Zn2 Ga2 Mo2 Ir2'
_symmetry_space_group_name_H-M 'P 1'
_symmetry_Int_Tables_number 1
_symmetry_space_group_name_Hall 'P 1'
_cell_length_a 4.7141
_cell_length_b 2.8350
_cell_length_c 9.0796
_cell_angle_alpha 90.00
_cell_angle_beta 98.75
_cell_angle_gamma 90.00
loop_
_atom_site_label
_atom_site_fract_x
_atom_site_fract_y
_atom_site_fract_z
Mo1 0.7859 0.0000 0.2054
Mo2 0.7859 0.5000 0.7054
Ir1 0.5647 0.0000 0.4629
Ir2 0.5647 0.5000 0.9629
Zn1 0.0613 0.0000 0.9587
Zn2 0.0613 0.5000 0.4587
Ga1 0.2893 0.0000 0.7148
Ga2 0.2893 0.5000 0.2148
```